Record 1
The following is a DFT calculation (PBE-GGA) of crystalline Dy2Ta2Cl2O7 at its relaxed geometry.

Cell and atoms, written as extended XYZ:
```
13
Lattice="-7.8033 0.4218 -0.3202 -6.8065 -1.4755 -3.5589 2.3035 -5.2192 3.7664" Properties=species:S:1:pos:R:3 pbc="T T T"
Cl -9.7994 -1.0579 -2.3962
Ta 0.1804 -1.6139 1.0010
O -1.6182 -2.4724 0.9503
Dy -8.6343 -4.1931 -0.2009
Cl -2.5070 -5.2152 2.2836
O -5.0815 -3.8763 0.7069
O -10.6882 -3.8007 -1.0629
Ta -12.4867 -4.6591 -1.1136
O -7.2249 -2.3968 -0.8195
O 0.2743 -3.5277 2.1510
O -12.5807 -2.7454 -2.2636
Dy -3.6720 -2.0799 0.0883
O 0.0000 0.0000 0.0000
```

* total DFT energy (no corrections): -109.986 eV/f.u.
* space group: C2/m (12)
* calculated density: 7.9 g/cm3

***

Record 2
The following is a DFT calculation (PBE-GGA) of crystalline Dy4Os2Cl at its relaxed geometry.

Cell and atoms, written as extended XYZ:
```
7
Lattice="5.2488 -3.6836 0.0000 5.2488 3.6836 0.0000 -0.0221 0.0000 4.5102" Properties=species:S:1:pos:R:3 pbc="T T T"
Cl 0.0000 0.0000 0.0000
Dy 3.8540 -1.6558 1.1216
Os 6.4920 0.0000 1.1040
Dy 3.8540 1.6558 1.1216
Os 3.9834 0.0000 3.4063
Dy 6.6214 1.6558 3.3886
Dy 6.6214 -1.6558 3.3886
```

* total DFT energy (no corrections): -45.476 eV/f.u.
* space group: C2/m (12)
* calculated density: 10.1 g/cm3

***

Record 3
The following is a DFT calculation (PBE-GGA) of crystalline PrDySbCl2 at its relaxed geometry.

Cell and atoms, written as extended XYZ:
```
5
Lattice="-3.3269 -2.1124 1.5927 3.9165 -0.8037 1.4431 -1.2066 7.5321 7.4697" Properties=species:S:1:pos:R:3 pbc="T T T"
Pr -1.1158 -0.4064 2.8021
Sb -1.1948 7.4587 7.3968
Dy 0.5003 5.0131 7.6941
Cl -1.7462 3.5283 6.7042
Cl 1.1159 1.1705 3.8834
```

* total DFT energy (no corrections): -25.481 eV/f.u.
* space group: P3m1 (156)
* calculated density: 4.9 g/cm3

***

Record 4
The following is a DFT calculation (PBE-GGA) of crystalline Pr2Dy2SiCl5 at its relaxed geometry.

Cell and atoms, written as extended XYZ:
```
10
Lattice="-6.3164 -3.7645 -5.3801 -7.4015 -5.0271 -1.7203 -3.4462 7.6538 1.6188" Properties=species:S:1:pos:R:3 pbc="T T T"
Pr -2.6736 5.8622 1.2298
Pr -14.4905 -7.0001 -6.7114
Dy -9.2348 -5.1229 -4.5055
Cl -5.4350 5.0779 0.1404
Cl -3.3545 0.8232 -0.7106
Cl -8.5820 -0.5689 -2.7408
Dy -7.9293 3.9850 -0.9762
Si -6.8589 -4.3958 -3.5502
Cl -13.8096 -1.9611 -4.7711
Cl -11.7290 -6.2158 -5.6221
```

* total DFT energy (no corrections): -50.696 eV/f.u.
* space group: C2/m (12)
* calculated density: 4.5 g/cm3

***

Record 5
The following is a DFT calculation (PBE-GGA) of crystalline RbDy2Cl7 at its relaxed geometry.

Cell and atoms, written as extended XYZ:
```
40
Lattice="13.0383 0.0000 0.0000 0.0000 6.9361 0.0000 0.0000 0.0000 12.6521" Properties=species:S:1:pos:R:3 pbc="T T T"
Cl 4.8138 6.8679 5.8256
Dy 9.9644 5.2021 5.8178
Cl 4.2567 3.5153 2.4469
Cl 4.2567 6.8889 2.4469
Dy 9.5930 1.7340 12.1438
Rb 12.4809 5.2021 10.2090
Cl 1.3775 5.2021 2.3803
Cl 8.0595 0.0721 0.9888
Cl 2.2624 3.4209 8.7730
Dy 9.7838 5.2021 1.9892
Cl 1.5404 0.0721 5.3373
Cl 8.2244 3.3999 6.8265
Dy 9.7736 1.7340 8.3153
Cl 11.3330 6.8679 0.5005
Cl 8.0595 3.3960 0.9888
Dy 3.2646 5.2021 4.3369
Cl 1.7053 0.0682 12.1517
Cl 11.6607 1.7340 10.2718
Cl 10.7759 3.5153 3.8792
Cl 8.7815 0.0472 10.2052
Cl 8.7815 3.4209 10.2052
Cl 11.4979 3.5401 7.3148
Dy 3.4453 5.2021 0.5083
Dy 3.0738 1.7340 6.8344
Cl 10.7759 6.8889 3.8792
Cl 8.2244 0.0682 6.8265
Cl 4.8138 3.5362 5.8256
Cl 4.9788 6.8640 11.6634
Cl 11.3330 3.5362 0.5005
Cl 1.7053 3.3999 12.1517
Cl 1.5404 3.3960 5.3373
Cl 2.2624 0.0472 8.7730
Cl 4.9788 3.5401 11.6634
Cl 11.4979 6.8640 7.3148
Cl 7.8967 5.2021 3.9458
Rb 7.0765 1.7340 3.8829
Dy 3.2545 1.7340 10.6629
Rb 5.9617 5.2021 8.7692
Cl 5.1416 1.7340 8.7063
Rb 0.5574 1.7340 2.4431
```

* total DFT energy (no corrections): -45.652 eV/f.u.
* space group: Pnma (62)
* calculated density: 3.8 g/cm3

***

Record 6
The following is a DFT calculation (PBE-GGA) of crystalline Dy3S2Cl2 at its relaxed geometry.

Cell and atoms, written as extended XYZ:
```
14
Lattice="-4.2285 4.2285 4.2285 4.2285 -4.2285 4.2285 4.2285 4.2285 -4.2285" Properties=species:S:1:pos:R:3 pbc="T T T"
S -1.6512 1.6512 5.8798
Cl 3.6556 0.5729 -0.5729
S 1.6512 5.8798 -1.6512
Dy 0.0000 6.3428 0.5844
Dy 3.6441 0.0000 2.1143
Dy 0.5844 0.0000 6.3428
S 2.5773 2.5773 2.5773
Cl -0.5729 3.6556 0.5729
S 5.8798 -1.6512 1.6512
Cl 0.5729 0.5729 0.5729
Cl 0.5729 -0.5729 3.6556
Dy 2.1143 3.6441 0.0000
Dy 6.3428 0.5844 0.0000
Dy 0.0000 2.1143 3.6441
```

* total DFT energy (no corrections): -37.635 eV/f.u.
* space group: I2_13 (199)
* calculated density: 6.8 g/cm3

***

Record 7
The following is a DFT calculation (PBE-GGA) of crystalline Dy2SCl4 at its relaxed geometry.

Cell and atoms, written as extended XYZ:
```
14
Lattice="7.5725 -3.1609 0.0000 7.5725 3.1609 0.0000 -0.9376 0.0000 6.7850" Properties=species:S:1:pos:R:3 pbc="T T T"
Cl 8.5353 0.6333 2.8649
Cl 5.6721 -0.6333 3.9201
Dy 9.1278 1.8592 0.5264
Cl 2.5434 -0.5151 5.5590
Dy 8.6590 -1.8592 3.9189
Dy 5.5484 1.8592 2.8661
Dy 5.0796 -1.8592 6.2587
Cl 11.6640 0.5151 1.2261
Cl 11.1952 -0.5151 4.6186
S 7.3381 -2.7600 1.6963
Cl 6.1409 0.6333 0.5276
S 6.8693 2.7600 5.0888
Cl 8.0665 -0.6333 6.2575
Cl 3.0122 0.5151 2.1664
```

* total DFT energy (no corrections): -36.066 eV/f.u.
* space group: C2/c (15)
* calculated density: 5.1 g/cm3

***

Record 8
The following is a DFT calculation (PBE-GGA) of crystalline SmDyS2Cl2 at its relaxed geometry.

Cell and atoms, written as extended XYZ:
```
6
Lattice="-0.0126 -3.0930 2.6410 4.6673 1.7433 2.0639 -4.4023 4.9491 5.7750" Properties=species:S:1:pos:R:3 pbc="T T T"
S -0.3321 -1.1802 1.7479
S -1.7020 5.4085 6.3260
Cl -2.9291 1.7393 5.1547
Dy -3.7994 4.2713 4.9841
Cl 0.8152 2.5787 3.0239
Sm 1.7225 0.0051 3.1459
```

* total DFT energy (no corrections): -34.297 eV/f.u.
* space group: Pmm2 (25)
* calculated density: 3.9 g/cm3

***

Record 9
The following is a DFT calculation (PBE-GGA) of crystalline TbDyS2Cl2 at its relaxed geometry.

Cell and atoms, written as extended XYZ:
```
6
Lattice="-2.4207 -0.3175 3.1875 1.6223 -5.0557 0.7284 6.2311 2.7203 5.0030" Properties=species:S:1:pos:R:3 pbc="T T T"
Tb 4.9633 -0.3456 6.2635
Dy 0.8678 0.3789 0.6968
S 1.3347 -2.2993 0.7845
S 4.5010 2.3346 6.1794
Cl 4.8675 -0.7570 3.6210
Cl 0.9616 0.7894 3.3376
```

* total DFT energy (no corrections): -34.301 eV/f.u.
* space group: Pmm2 (25)
* calculated density: 4.2 g/cm3

***

Record 10
The following is a DFT calculation (PBE-GGA) of crystalline DyTmS2Cl2 at its relaxed geometry.

Cell and atoms, written as extended XYZ:
```
6
Lattice="3.9584 0.0000 0.0000 0.0000 5.3328 0.0000 0.0000 0.0000 8.2653" Properties=species:S:1:pos:R:3 pbc="T T T"
Cl 1.9792 2.6664 5.3398
Dy 0.0000 2.6664 7.1161
S 1.9792 2.6664 0.7573
S 0.0000 0.0000 7.5578
Tm 1.9792 0.0000 1.1440
Cl 0.0000 0.0000 2.8809
```

* total DFT energy (no corrections): -34.137 eV/f.u.
* space group: Pmm2 (25)
* calculated density: 4.4 g/cm3

***

Record 11
The following is a DFT calculation (PBE-GGA) of crystalline DyYS2Cl2 at its relaxed geometry.

Cell and atoms, written as extended XYZ:
```
6
Lattice="-2.2623 1.8825 -2.7206 -0.0020 -4.4031 -3.0450 -6.9598 -2.7048 3.9158" Properties=species:S:1:pos:R:3 pbc="T T T"
S -6.3778 -4.6798 2.0653
Dy -5.9906 -2.3281 3.3705
Cl -5.6648 -0.8207 1.1905
Y -2.1013 -1.6370 -2.3375
Cl -2.4285 -3.1450 -0.1567
S -1.7128 0.7152 -1.0331
```

* total DFT energy (no corrections): -36.140 eV/f.u.
* space group: Pmm2 (25)
* calculated density: 3.5 g/cm3

***

Record 12
The following is a DFT calculation (PBE-GGA) of crystalline SmDySbCl2 at its relaxed geometry.

Cell and atoms, written as extended XYZ:
```
5
Lattice="-0.5648 3.2343 2.6230 -2.6377 -0.5796 -3.2196 -6.1578 -6.0500 6.1340" Properties=species:S:1:pos:R:3 pbc="T T T"
Sm -2.9840 -0.3275 -0.2388
Dy -5.1172 -5.0277 5.0975
Cl -1.9497 -1.9156 1.9422
Sb -7.3825 -4.0565 6.7785
Cl -6.1892 -3.4766 2.9540
```

* total DFT energy (no corrections): -25.374 eV/f.u.
* space group: P3m1 (156)
* calculated density: 5.2 g/cm3

***

Record 13
The following is a DFT calculation (PBE-GGA) of crystalline TbDySbCl2 at its relaxed geometry.

Cell and atoms, written as extended XYZ:
```
5
Lattice="-2.7765 -2.8666 1.2027 2.1660 -0.5441 -3.5193 7.5172 -5.0145 5.4019" Properties=species:S:1:pos:R:3 pbc="T T T"
Dy 1.7819 -2.1611 -1.0374
Tb 6.2529 -4.1711 4.4934
Cl 2.3505 -1.5680 1.6891
Cl 5.6788 -4.7606 1.7629
Sb -1.1218 -2.0973 -0.3661
```

* total DFT energy (no corrections): -25.204 eV/f.u.
* space group: P3m1 (156)
* calculated density: 5.4 g/cm3

***

Record 14
The following is a DFT calculation (PBE-GGA) of crystalline TbDyCl6 at its relaxed geometry.

Cell and atoms, written as extended XYZ:
```
8
Lattice="4.1540 3.4473 4.2750 -5.9001 -2.6800 2.3283 3.4455 -5.3763 -0.8731" Properties=species:S:1:pos:R:3 pbc="T T T"
Cl 1.2490 -3.4523 4.4726
Cl 0.4661 -1.1471 1.2607
Cl -2.2923 -1.8184 4.4455
Cl 0.3863 -4.9878 0.5866
Dy -4.2366 -1.6662 2.6504
Cl 1.3002 0.3770 5.1561
Tb 2.4911 2.4338 3.9530
Cl 3.9882 -2.7988 1.2690
```

* total DFT energy (no corrections): -38.520 eV/f.u.
* space group: C2 (5)
* calculated density: 3.6 g/cm3

***

Record 15
The following is a DFT calculation (PBE-GGA) of crystalline DyTl3Cl6 at its relaxed geometry.

Cell and atoms, written as extended XYZ:
```
20
Lattice="-2.6894 3.7691 5.8324 -5.0046 -6.2346 1.7213 10.1236 -7.8782 0.8982" Properties=species:S:1:pos:R:3 pbc="T T T"
Cl 1.5459 -8.2113 3.1659
Tl 1.5634 -1.4177 2.0439
Cl 6.1329 -5.8381 5.6708
Cl 3.7425 -4.0393 2.7431
Tl -2.3718 -2.7148 5.3316
Cl -2.1490 -1.1339 2.5794
Cl 2.5872 -6.2064 6.9039
Cl -4.3497 -4.6032 7.0998
Cl 4.5786 -9.2099 5.8726
Dy 5.0618 -3.9391 0.4491
Cl -3.7033 -4.5057 2.7812
Cl -1.3130 -6.3045 5.7089
Tl -1.3447 1.8846 2.9162
Dy -2.5023 -3.1173 0.8607
Cl 0.8836 -2.1325 5.2861
Tl 1.2148 -5.1719 4.2260
Cl -0.1577 -4.1374 1.5481
Tl 4.8013 -7.6290 3.1204
Tl 0.8661 -8.9260 6.4081
Cl 6.7792 -5.7406 1.3522
```

* total DFT energy (no corrections): -38.355 eV/f.u.
* space group: P2_1/c (14)
* calculated density: 5.0 g/cm3

***

Record 16
The following is a DFT calculation (PBE-GGA) of crystalline DyTmCl6 at its relaxed geometry.

Cell and atoms, written as extended XYZ:
```
8
Lattice="3.3996 -5.9033 0.0000 3.3996 5.9033 0.0000 -2.2909 0.0000 6.0164" Properties=species:S:1:pos:R:3 pbc="T T T"
Dy 3.3996 3.9501 0.0000
Cl 4.5881 -2.1288 1.4496
Tm 3.3996 -3.9479 0.0000
Cl 4.6309 2.1016 1.4449
Cl -0.0798 -2.1288 4.5668
Cl 3.5587 0.0261 4.5448
Cl 0.9496 0.0261 1.4716
Cl -0.1226 2.1016 4.5715
```

* total DFT energy (no corrections): -38.381 eV/f.u.
* space group: C2 (5)
* calculated density: 3.7 g/cm3

***

Record 17
The following is a DFT calculation (PBE-GGA) of crystalline Er3Cl2 at its relaxed geometry.

Cell and atoms, written as extended XYZ:
```
10
Lattice="-6.7782 0.0000 0.0000 3.3891 -5.8701 0.0000 -3.3891 1.9567 6.0190" Properties=species:S:1:pos:R:3 pbc="T T T"
Er -4.4496 0.0000 4.5143
Er -4.5534 -3.8535 4.5143
Cl 0.0000 -3.9134 3.0261
Cl -3.3891 -1.9567 6.0025
Er -2.3286 -3.9134 1.5048
Cl -3.3891 -1.9567 0.0166
Cl -6.7782 0.0000 2.9930
Er -1.1643 -2.0166 4.5143
Er -5.6139 -1.8968 1.5048
Er -2.2248 -0.0599 1.5048
```

* total DFT energy (no corrections): -21.838 eV/f.u.
* space group: R-3c (167)
* calculated density: 7.9 g/cm3

***

Record 18
The following is a DFT calculation (PBE-GGA) of crystalline ErCl2 at its relaxed geometry.

Cell and atoms, written as extended XYZ:
```
6
Lattice="4.1605 2.4021 6.7941 -4.1605 2.4021 6.7941 0.0000 -4.8042 6.7941" Properties=species:S:1:pos:R:3 pbc="T T T"
Cl 2.0803 -1.2010 14.4375
Er 0.0000 0.0000 15.2868
Cl -2.0803 -1.2010 14.4375
Er 0.0000 0.0000 0.0000
Cl 0.0000 2.4021 14.4375
Cl 0.0000 0.0000 17.8346
```

* total DFT energy (no corrections): -12.489 eV/f.u.
* space group: Fd-3m (227)
* calculated density: 1.9 g/cm3

***

Record 19
The following is a DFT calculation (PBE-GGA) of crystalline ErCl2 at its relaxed geometry.

Cell and atoms, written as extended XYZ:
```
6
Lattice="0.0000 4.1469 4.1469 4.1469 0.0000 4.1469 4.1469 4.1469 0.0000" Properties=species:S:1:pos:R:3 pbc="T T T"
Er 2.0735 2.0735 2.0735
Cl 5.1837 3.1102 3.1102
Cl 3.1102 5.1837 3.1102
Cl 5.1837 5.1837 5.1837
Er 0.0000 0.0000 0.0000
Cl 3.1102 3.1102 5.1837
```

* total DFT energy (no corrections): -9.134 eV/f.u.
* space group: Fd-3m (227)
* calculated density: 5.5 g/cm3

***

Record 20
The following is a DFT calculation (PBE-GGA) of crystalline ErCl2 at its relaxed geometry.

Cell and atoms, written as extended XYZ:
```
6
Lattice="-5.4470 0.8459 3.9919 0.9676 -6.2005 2.6342 1.9974 1.3482 2.4398" Properties=species:S:1:pos:R:3 pbc="T T T"
Cl -3.2251 -3.8551 4.7706
Er -1.2410 -2.0032 4.5329
Cl -1.2543 -1.4994 1.8555
Er 0.0000 0.0000 0.0000
Cl -3.0373 -0.0300 4.9131
Cl 0.5552 -3.9763 4.1527
```

* total DFT energy (no corrections): -13.760 eV/f.u.
* space group: P4_2/mnm (136)
* calculated density: 5.0 g/cm3

***

Record 21
The following is a DFT calculation (PBE-GGA) of crystalline ErCl2 at its relaxed geometry.

Cell and atoms, written as extended XYZ:
```
3
Lattice="3.1712 -1.8306 0.0000 3.1712 1.8306 0.0000 -1.9921 0.0000 6.8614" Properties=species:S:1:pos:R:3 pbc="T T T"
Cl 0.1270 0.0000 5.1958
Er 0.0000 0.0000 0.0000
Cl 4.2233 0.0000 1.6656
```

* total DFT energy (no corrections): -13.896 eV/f.u.
* space group: C2/m (12)
* calculated density: 5.0 g/cm3

***

Record 22
The following is a DFT calculation (PBE-GGA) of crystalline Er2Cl at its relaxed geometry.

Cell and atoms, written as extended XYZ:
```
6
Lattice="-4.4809 -1.7606 4.3924 -5.0935 3.8855 1.1959 -5.9651 -1.7531 -1.9533" Properties=species:S:1:pos:R:3 pbc="T T T"
Cl 0.0000 0.0000 0.0000
Cl -3.8849 0.0930 0.9087
Er -6.7297 1.1089 3.2485
Er -7.1655 -1.7104 1.6739
Er -9.7122 0.2324 2.2719
Er -7.4718 1.1127 0.0757
```

* offset from the most stable computed form: 0.0 meV per atom
* space group: Fd-3m (227)
* calculated density: 6.3 g/cm3

***

Record 23
The following is a DFT calculation (PBE-GGA) of crystalline GdErFe2Cl2 at its relaxed geometry.

Cell and atoms, written as extended XYZ:
```
6
Lattice="3.8044 0.0000 0.0000 -1.9022 3.2947 0.0000 0.0000 0.0000 11.0447" Properties=species:S:1:pos:R:3 pbc="T T T"
Er 0.0000 0.0000 7.5194
Fe 1.9022 1.0982 5.4503
Gd 0.0000 0.0000 3.5242
Fe 0.0000 2.1964 5.6513
Cl 0.0000 2.1964 1.7588
Cl 1.9022 1.0982 9.2301
```

* total DFT energy (no corrections): -36.162 eV/f.u.
* space group: P3m1 (156)
* calculated density: 6.1 g/cm3